A geometry-optimized LiAl structure. Source: Alexandria, functional PBE.

Cell: 4.492 4.492 4.492 Å, 60.00 60.00 60.00°
Atoms (fractional coordinates):
Li: 0.250 0.250 0.250
Li: 0.500 0.500 0.500
Al: 0.750 0.750 0.750
Al: 0.000 0.000 0.000

Computed properties:
Total energy (eV per atom): -2.9988
DFT formation energy (meV per atom): -171
Magnetization (μB per formula unit): 0.000
Calculated density (Mg/m³): 1.76